Below is a relaxed VPd14Pt crystal, with properties calculated at the PBE-GGA level.

Cell and atoms, written as POSCAR:
```
VPd14Pt
1.0
5.5874 0.0000 0.0000
0.0000 5.5874 0.0000
0.0000 0.0000 7.8083
V Pd Pt
1 14 1
Cartesian
0.0000 0.0000 0.0000 V
0.0000 0.0000 3.9042 Pd
0.0000 2.7937 0.0000 Pd
0.0000 2.7937 3.9042 Pd
1.3755 1.3755 1.9040 Pd
1.3755 1.3755 5.9044 Pd
1.3755 4.2119 1.9040 Pd
1.3755 4.2119 5.9044 Pd
2.7937 0.0000 0.0000 Pd
2.7937 0.0000 3.9042 Pd
2.7937 2.7937 3.9042 Pd
4.2119 1.3755 1.9040 Pd
4.2119 1.3755 5.9044 Pd
4.2119 4.2119 1.9040 Pd
4.2119 4.2119 5.9044 Pd
2.7937 2.7937 0.0000 Pt
```

Formation energy from the elements: -1.8 kcal/mol of atoms
Uncorrected energy: -0.409 Ry/atom